A relaxed structure of B2AsIrPt. Source: the Alexandria database, functional PBE-GGA.

```
data_B2AsIrPt
_cell_length_a 3.887
_cell_length_b 3.887
_cell_length_c 5.589
_cell_angle_alpha 90.00
_cell_angle_beta 90.00
_cell_angle_gamma 90.00
_space_group_name_H-M_alt 'P 4/m m m'
_space_group_IT_number 123
_space_group_name_Hall '-P 4 2'
loop_
_atom_site_label
_atom_site_type_symbol
_atom_site_fract_x
_atom_site_fract_y
_atom_site_fract_z
_atom_site_occupancy
B1 B 0.000 0.500 0.000 1
As1 As 0.000 0.000 0.500 1
Ir1 Ir 0.500 0.500 0.500 1
Pt1 Pt 0.500 0.500 0.000 1
```

Results
total magnetic moment: 0.000 μB per cell
calculated formation energy: 943.7 meV/atom
raw total energy: -5.637 eV/atom